<A>
# FePNF2

Crystalline FePNF2 at its relaxed geometry (PBE+U, Alexandria via LeMat-Bulk).

Cell: 4.367 4.367 3.334 Å, 90.00 90.00 90.00°
Element x y z (fractional)
Fe1 0.000 0.000 0.000
P1 0.500 0.500 0.500
N1 0.500 0.500 0.000
F1 0.000 0.500 0.500
F2 0.500 0.000 0.500

Summary:
- Spin magnetization: 3.24 μB per formula unit
- Space-group type: P4/mmm (123)

=====

<B>
# FePNF2

Crystalline FePNF2 at its relaxed geometry (PBE+U, Alexandria via LeMat-Bulk).

Cell: 3.800 3.800 4.411 Å, 90.00 90.00 90.00°
Element x y z (fractional)
Fe1 0.000 0.000 0.000
P1 0.500 0.500 0.500
N1 0.000 0.000 0.500
F1 0.000 0.500 0.000
F2 0.500 0.000 0.000

Summary:
- Spin magnetization: 5.99 μB per formula unit
- Space-group type: P4/mmm (123)

=====

Which structure is most stable? <A>, by 0.083 eV/atom over the runner-up.

=====

<A>
# FePbN2F

Crystalline FePbN2F at its relaxed geometry (PBE+U, Alexandria via LeMat-Bulk).

Cell: 3.907 3.907 4.303 Å, 90.00 90.00 90.00°
Element x y z (fractional)
Fe1 0.000 0.000 0.000
Pb1 0.500 0.500 0.500
N1 0.000 0.500 0.000
N2 0.500 0.000 0.000
F1 0.000 0.000 0.500

Summary:
- Spin magnetization: 4.90 μB per formula unit
- Space-group type: P4/mmm (123)

=====

<B>
# FePbN2F

Crystalline FePbN2F at its relaxed geometry (PBE+U, Alexandria via LeMat-Bulk).

Cell: 4.301 4.301 4.378 Å, 90.00 90.00 90.00°
Element x y z (fractional)
Fe1 0.000 0.000 0.000
Pb1 0.500 0.500 0.500
N1 0.000 0.500 0.500
N2 0.500 0.000 0.500
F1 0.500 0.500 0.000

Summary:
- Spin magnetization: 2.98 μB per formula unit
- Space-group type: P4/mmm (123)

=====

Which structure is most stable? <A>, by 0.832 eV/atom over the runner-up.

=====

<A>
# FePbNF2

Crystalline FePbNF2 at its relaxed geometry (PBE+U, Alexandria via LeMat-Bulk).

Cell: 4.500 4.500 4.478 Å, 90.00 90.00 90.00°
Element x y z (fractional)
Fe1 0.000 0.000 0.000
Pb1 0.500 0.500 0.500
N1 0.500 0.500 0.000
F1 0.000 0.500 0.500
F2 0.500 0.000 0.500

Summary:
- Spin magnetization: 4.16 μB per formula unit
- Space-group type: P4/mmm (123)

=====

<B>
# FePbNF2

Crystalline FePbNF2 at its relaxed geometry (PBE+U, Alexandria via LeMat-Bulk).

Cell: 4.141 4.141 4.039 Å, 90.00 90.00 90.00°
Element x y z (fractional)
Fe1 0.000 0.000 0.000
Pb1 0.500 0.500 0.500
N1 0.000 0.000 0.500
F1 0.000 0.500 0.000
F2 0.500 0.000 0.000

Summary:
- Spin magnetization: 4.98 μB per formula unit
- Space-group type: P4/mmm (123)

=====

Which structure is most stable? <B>, by 0.745 eV/atom over the runner-up.

=====

<A>
# FePdN2F

Crystalline FePdN2F at its relaxed geometry (PBE+U, Alexandria via LeMat-Bulk).

Cell: 3.937 3.937 4.318 Å, 90.00 90.00 90.00°
Element x y z (fractional)
Fe1 0.000 0.000 0.000
Pd1 0.500 0.500 0.500
N1 0.000 0.500 0.500
N2 0.500 0.000 0.500
F1 0.500 0.500 0.000

Summary:
- Spin magnetization: 5.90 μB per formula unit
- Space-group type: P4/mmm (123)

=====

<B>
# FePdN2F

Crystalline FePdN2F at its relaxed geometry (PBE+U, Alexandria via LeMat-Bulk).

Cell: 3.879 3.879 3.838 Å, 90.00 90.00 90.00°
Element x y z (fractional)
Fe1 0.000 0.000 0.000
Pd1 0.500 0.500 0.500
N1 0.000 0.500 0.000
N2 0.500 0.000 0.000
F1 0.000 0.000 0.500

Summary:
- Spin magnetization: 3.18 μB per formula unit
- Space-group type: P4/mmm (123)

=====

Which structure is most stable? <B>, by 0.255 eV/atom over the runner-up.

=====

<A>
# RbFeNF2

Crystalline RbFeNF2 at its relaxed geometry (PBE+U, Alexandria via LeMat-Bulk).

Cell: 5.245 5.245 5.256 Å, 90.00 90.00 90.00°
Element x y z (fractional)
Rb1 0.000 0.000 0.000
Fe1 0.500 0.500 0.500
N1 0.000 0.000 0.500
F1 0.000 0.500 0.000
F2 0.500 0.000 0.000

Summary:
- Spin magnetization: 7.97 μB per formula unit
- Space-group type: P4/mmm (123)

=====

<B>
# RbFeNF2

Crystalline RbFeNF2 at its relaxed geometry (PBE+U, Alexandria via LeMat-Bulk).

Cell: 4.393 4.393 3.823 Å, 90.00 90.00 90.00°
Element x y z (fractional)
Rb1 0.000 0.000 0.000
Fe1 0.500 0.500 0.500
N1 0.500 0.500 0.000
F1 0.000 0.500 0.500
F2 0.500 0.000 0.500

Summary:
- Spin magnetization: 4.00 μB per formula unit
- Space-group type: P4/mmm (123)

=====

Which structure is most stable? <B>, by 1.534 eV/atom over the runner-up.

=====

<A>
# FeReNF2

Crystalline FeReNF2 at its relaxed geometry (PBE+U, Alexandria via LeMat-Bulk).

Cell: 4.206 4.206 3.827 Å, 90.00 90.00 90.00°
Element x y z (fractional)
Fe1 0.000 0.000 0.000
Re1 0.500 0.500 0.500
N1 0.500 0.500 0.000
F1 0.000 0.500 0.500
F2 0.500 0.000 0.500

Summary:
- Spin magnetization: 3.40 μB per formula unit
- Space-group type: P4/mmm (123)

=====

<B>
# FeReNF2

Crystalline FeReNF2 at its relaxed geometry (PBE+U, Alexandria via LeMat-Bulk).

Cell: 3.774 3.774 4.632 Å, 90.00 90.00 90.00°
Element x y z (fractional)
Fe1 0.000 0.000 0.000
Re1 0.500 0.500 0.500
N1 0.000 0.000 0.500
F1 0.000 0.500 0.000
F2 0.500 0.000 0.000

Summary:
- Spin magnetization: 8.82 μB per formula unit
- Space-group type: P4/mmm (123)

=====

Which structure is most stable? <A>, by 0.383 eV/atom over the runner-up.

=====

<A>
# FeRhNF2

Crystalline FeRhNF2 at its relaxed geometry (PBE+U, Alexandria via LeMat-Bulk).

Cell: 3.799 3.799 4.331 Å, 90.00 90.00 90.00°
Element x y z (fractional)
Fe1 0.000 0.000 0.000
Rh1 0.500 0.500 0.500
N1 0.000 0.000 0.500
F1 0.000 0.500 0.000
F2 0.500 0.000 0.000

Summary:
- Spin magnetization: 6.73 μB per formula unit
- Space-group type: P4/mmm (123)

=====

<B>
# FeRhNF2

Crystalline FeRhNF2 at its relaxed geometry (PBE+U, Alexandria via LeMat-Bulk).

Cell: 4.383 4.383 3.689 Å, 90.00 90.00 90.00°
Element x y z (fractional)
Fe1 0.000 0.000 0.000
Rh1 0.500 0.500 0.500
N1 0.500 0.500 0.000
F1 0.000 0.500 0.500
F2 0.500 0.000 0.500

Summary:
- Spin magnetization: 3.86 μB per formula unit
- Space-group type: P4/mmm (123)

=====

Which structure is most stable? <B>, by 0.067 eV/atom over the runner-up.

=====

<A>
# FeSN2F

Crystalline FeSN2F at its relaxed geometry (PBE+U, Alexandria via LeMat-Bulk).

Cell: 3.987 3.987 3.918 Å, 90.00 90.00 90.00°
Element x y z (fractional)
Fe1 0.000 0.000 0.000
S1 0.500 0.500 0.000
N1 0.000 0.500 0.500
N2 0.500 0.000 0.500
F1 0.500 0.500 0.500

Summary:
- Spin magnetization: 6.12 μB per formula unit
- Space-group type: P4/mmm (123)

=====

<B>
# FeSN2F

Crystalline FeSN2F at its relaxed geometry (PBE+U, Alexandria via LeMat-Bulk).

Cell: 3.638 3.638 5.114 Å, 90.00 90.00 90.00°
Element x y z (fractional)
Fe1 0.000 0.000 0.000
S1 0.000 0.000 0.500
N1 0.000 0.500 0.000
N2 0.500 0.000 0.000
F1 0.500 0.500 0.500

Summary:
- Spin magnetization: 0.97 μB per formula unit
- Space-group type: P4/mmm (123)

=====

<C>
# FeSN2F

Crystalline FeSN2F at its relaxed geometry (PBE+U, Alexandria via LeMat-Bulk).

Cell: 3.558 3.558 4.227 Å, 90.00 90.00 90.00°
Element x y z (fractional)
Fe1 0.000 0.000 0.000
S1 0.500 0.500 0.500
N1 0.000 0.500 0.500
N2 0.500 0.000 0.500
F1 0.500 0.500 0.000

Summary:
- Spin magnetization: 4.10 μB per formula unit
- Space-group type: P4/mmm (123)

=====

<D>
# FeSN2F

Crystalline FeSN2F at its relaxed geometry (PBE+U, Alexandria via LeMat-Bulk).

Cell: 3.744 3.744 3.741 Å, 90.00 90.00 90.00°
Element x y z (fractional)
Fe1 0.000 0.000 0.000
S1 0.500 0.500 0.500
N1 0.000 0.500 0.000
N2 0.500 0.000 0.000
F1 0.000 0.000 0.500

Summary:
- Spin magnetization: 0.00 μB per formula unit
- Space-group type: P4/mmm (123)

=====

Which structure is most stable? <C>, by 0.154 eV/atom over the runner-up.